## one
The following is a GGA-PBE calculation of Ca2La2Tl after structural relaxation, from Alexandria via LeMat-Bulk.

Structure (POSCAR):
```
Ca2La2Tl
1.0
-0.700 -5.297 6.266
1.156 -6.289 -5.187
5.557 0.300 0.875
Ca Tl La
4 2 4
Cartesian
3.434 -4.966 -1.973
2.579 -6.320 3.926
3.269 -8.619 0.332
2.744 -2.667 1.622
0.228 -5.793 0.539
0.000 0.000 0.000
0.748 -7.460 -2.192
-0.292 -4.126 3.270
0.341 -3.018 -1.133
0.115 -8.568 2.211
```

Summary:
**Density of states at the Fermi level**: 7.805 states/eV/f.u.
**ρ**: 4889 kg/m³
**Space group**: P4/mbm (127)

---

## two
The following is a GGA-PBE calculation of Ca2La2Tl after structural relaxation, from Alexandria via LeMat-Bulk.

Structure (POSCAR):
```
Ca2La2Tl
1.0
8.132 0.000 0.000
0.000 8.132 0.000
0.000 0.000 5.561
Tl Ca La
2 4 4
Cartesian
4.066 4.066 0.000
0.000 0.000 0.000
2.855 6.920 0.000
5.277 1.211 0.000
6.920 5.277 0.000
1.211 2.855 0.000
6.842 2.776 2.780
5.355 6.842 2.780
2.776 1.290 2.780
1.290 5.355 2.780
```

Summary:
**Density of states at the Fermi level**: 6.688 states/eV/f.u.
**ρ**: 5080 kg/m³
**Space group**: P4/mbm (127)

---

Stability ranking, top entry: two; the second entry is 20 meV per atom less favorable.

---

## one
The following is a GGA-PBE calculation of Ca2LaTm after structural relaxation, from Alexandria via LeMat-Bulk.

Structure (POSCAR):
```
Ca2LaTm
1.0
3.606 -0.508 -0.769
1.111 6.183 1.153
-3.398 4.568 8.075
Ca La Tm
2 1 1
Cartesian
0.200 5.846 5.694
-1.064 9.153 6.590
1.265 5.212 2.105
2.511 1.868 1.142
```

Summary:
**Density of states at the Fermi level**: 7.284 states/eV/f.u.
**ρ**: 4368 kg/m³
**Space group**: C2/m (12)

---

## two
The following is a GGA-PBE calculation of Ca2LaTm after structural relaxation, from Alexandria via LeMat-Bulk.

Structure (POSCAR):
```
Ca2LaTm
1.0
-2.764 2.299 2.118
-3.122 -2.167 -1.722
0.306 -5.529 6.402
Tm La Ca
1 1 2
Cartesian
-2.943 0.066 0.198
-2.790 -2.698 3.399
0.233 -4.220 4.886
0.072 -1.309 1.516
```

Summary:
**Density of states at the Fermi level**: 5.613 states/eV/f.u.
**ρ**: 4371 kg/m³
**Space group**: P4/mmm (123)

---

## three
The following is a GGA-PBE calculation of Ca2LaTm after structural relaxation, from Alexandria via LeMat-Bulk.

Structure (POSCAR):
```
Ca2LaTm
1.0
3.698 0.000 0.000
1.849 3.203 0.000
1.849 1.068 12.405
La Ca Tm
1 2 1
Cartesian
3.698 2.135 0.003
1.849 1.068 3.210
1.849 1.068 9.200
3.698 2.135 6.194
```

Summary:
**Density of states at the Fermi level**: 6.465 states/eV/f.u.
**ρ**: 4385 kg/m³
**Space group**: R3m (160)

---

Stability ranking, top entry: three; the second entry is 6 meV per atom less favorable.

---

## one
The following is a GGA-PBE calculation of CaLa2Tm after structural relaxation, from Alexandria via LeMat-Bulk.

Structure (POSCAR):
```
CaLa2Tm
1.0
5.899 0.000 0.000
2.949 5.108 0.000
2.949 1.703 4.816
Tm La Ca
1 2 1
Cartesian
0.000 0.000 0.000
8.848 5.108 3.612
2.949 1.703 1.204
5.899 3.406 2.408
```

Summary:
**Density of states at the Fermi level**: 5.525 states/eV/f.u.
**ρ**: 5570 kg/m³
**Space group**: Fm-3m (225)

---

## two
The following is a GGA-PBE calculation of CaLa2Tm after structural relaxation, from Alexandria via LeMat-Bulk.

Structure (POSCAR):
```
CaLa2Tm
1.0
3.685 0.000 0.000
1.843 3.191 0.000
1.843 1.064 12.331
La Ca Tm
2 1 1
Cartesian
1.843 1.064 2.864
1.843 1.064 9.458
3.685 2.128 6.179
5.528 3.191 12.326
```

Summary:
**Density of states at the Fermi level**: 5.402 states/eV/f.u.
**ρ**: 5574 kg/m³
**Space group**: R3m (160)

---

## three
The following is a GGA-PBE calculation of CaLa2Tm after structural relaxation, from Alexandria via LeMat-Bulk.

Structure (POSCAR):
```
CaLa2Tm
1.0
3.686 0.000 0.000
1.843 3.192 0.000
1.843 1.064 12.262
La Ca Tm
2 1 1
Cartesian
5.529 3.192 9.395
1.843 1.064 2.868
3.686 2.128 6.131
0.000 0.000 0.000
```

Summary:
**Density of states at the Fermi level**: 5.229 states/eV/f.u.
**ρ**: 5604 kg/m³
**Space group**: R-3m (166)

---

Stability ranking, top entry: three; the second entry is 10 meV per atom less favorable.

---

## one
The following is a GGA-PBE calculation of CaLa2Tm after structural relaxation, from Alexandria via LeMat-Bulk.

Structure (POSCAR):
```
CaLa2Tm
1.0
-3.133 -1.717 -1.970
-0.171 -4.364 4.075
-3.822 3.212 3.279
Ca Tm La
1 1 2
Cartesian
-3.563 -1.434 2.692
-1.567 -0.858 -0.985
-1.911 1.606 1.640
-0.086 -2.182 2.038
```

Summary:
**Density of states at the Fermi level**: 6.053 states/eV/f.u.
**ρ**: 5553 kg/m³
**Space group**: P4/mmm (123)

---

## two
The following is a GGA-PBE calculation of CaLa2Tm after structural relaxation, from Alexandria via LeMat-Bulk.

Structure (POSCAR):
```
CaLa2Tm
1.0
-0.830 3.061 -2.688
-3.323 -2.095 -1.361
-4.889 3.894 5.944
Tm La Ca
1 2 1
Cartesian
-2.076 0.483 -2.024
-1.100 0.876 1.337
-3.789 3.018 4.607
-4.521 2.430 0.948
```

Summary:
**Density of states at the Fermi level**: 5.361 states/eV/f.u.
**ρ**: 5422 kg/m³
**Space group**: P4/mmm (123)

---

Stability ranking, top entry: two; the second entry is 23 meV per atom less favorable.

---

## one
The following is a GGA-PBE calculation of Ca3LaV after structural relaxation, from Alexandria via LeMat-Bulk.

Structure (POSCAR):
```
Ca3LaV
1.0
5.811 0.000 0.000
0.000 5.811 0.000
0.000 0.000 5.811
Ca La V
3 1 1
Cartesian
0.000 2.906 0.000
2.906 0.000 0.000
0.000 0.000 2.906
0.000 0.000 0.000
2.906 2.906 2.906
```

Summary:
**Density of states at the Fermi level**: 7.946 states/eV/f.u.
**ρ**: 2623 kg/m³
**Space group**: Pm-3m (221)

---

## two
The following is a GGA-PBE calculation of Ca3LaV after structural relaxation, from Alexandria via LeMat-Bulk.

Structure (POSCAR):
```
Ca3LaV
1.0
5.788 0.000 0.000
0.000 5.788 0.000
0.000 0.000 5.788
V Ca La
1 3 1
Cartesian
0.000 0.000 0.000
2.894 0.000 0.000
0.000 2.894 0.000
0.000 0.000 2.894
2.894 2.894 2.894
```

Summary:
**Density of states at the Fermi level**: 8.858 states/eV/f.u.
**ρ**: 2655 kg/m³
**Space group**: Pm-3m (221)

---

Stability ranking, top entry: two; the second entry is 758 meV per atom less favorable.

---

## one
The following is a GGA-PBE calculation of CaLa3V after structural relaxation, from Alexandria via LeMat-Bulk.

Structure (POSCAR):
```
CaLa3V
1.0
5.783 0.000 0.000
0.000 5.783 0.000
0.000 0.000 5.783
La Ca V
3 1 1
Cartesian
0.000 2.892 0.000
2.892 0.000 0.000
0.000 0.000 2.892
0.000 0.000 0.000
2.892 2.892 2.892
```

Summary:
**Density of states at the Fermi level**: 9.763 states/eV/f.u.
**ρ**: 4359 kg/m³
**Space group**: Pm-3m (221)

---

## two
The following is a GGA-PBE calculation of CaLa3V after structural relaxation, from Alexandria via LeMat-Bulk.

Structure (POSCAR):
```
CaLa3V
1.0
5.612 0.000 0.000
0.000 5.612 0.000
0.000 0.000 5.612
Ca La V
1 3 1
Cartesian
2.806 2.806 2.806
2.806 0.000 0.000
0.000 2.806 0.000
0.000 0.000 2.806
0.000 0.000 0.000
```

Summary:
**Density of states at the Fermi level**: 7.291 states/eV/f.u.
**ρ**: 4770 kg/m³
**Space group**: Pm-3m (221)

---

Stability ranking, top entry: two; the second entry is 970 meV per atom less favorable.